1.
This record from Alexandria describes a relaxed structure of La2Sn3Hg. The functional is PBE.

Summary:
- space-group type = Pmm2
- energy of formation (eV per atom) = -0.545

Unit cell a=4.253 b=4.901 c=8.455 alpha=90.00 beta=90.00 gamma=90.00
Element x y z (fractional)
Hg  0.500  0.500  0.330
La  0.000  0.000  0.508
La  0.000  0.500  0.993
Sn  0.500  0.000  0.173
Sn  0.500  0.500  0.661
Sn  0.500  0.000  0.836

---

2.
This record from Alexandria describes a relaxed structure of La3Sn2Hg3. The functional is PBE.

Summary:
- space-group type = Cmcm
- energy of formation (eV per atom) = -0.587

Unit cell a=4.696 b=6.451 c=16.436 alpha=90.00 beta=90.00 gamma=111.35
Element x y z (fractional)
Sn  0.222  0.444  0.114
Sn  0.222  0.444  0.386
Sn  0.778  0.556  0.614
Sn  0.778  0.556  0.886
La  0.931  0.863  0.394
La  0.931  0.863  0.106
La  0.069  0.137  0.894
La  0.069  0.137  0.606
La  0.654  0.308  0.250
La  0.346  0.692  0.750
Hg  0.609  0.217  0.750
Hg  0.378  0.756  0.535
Hg  0.622  0.244  0.465
Hg  0.391  0.783  0.250
Hg  0.378  0.756  0.965
Hg  0.622  0.244  0.035

---

3.
This record from Alexandria describes a relaxed structure of LaSn2Hg. The functional is PBE.

Summary:
- space-group type = R-3m
- energy of formation (eV per atom) = 0.086

Unit cell a=3.540 b=3.540 c=11.322 alpha=81.01 beta=81.01 gamma=60.00
Element x y z (fractional)
La  0.000  0.000  0.000
Hg  0.500  0.500  0.500
Sn  0.097  0.097  0.709
Sn  0.903  0.903  0.291

---

4.
This record from Alexandria describes a relaxed structure of LaSn4Hg. The functional is PBE.

Summary:
- space-group type = F-43m
- ΔE to the lowest computed polymorph (meV per atom) = 48.5
- energy of formation (eV per atom) = -0.281

Unit cell a=6.224 b=6.224 c=6.224 alpha=60.00 beta=60.00 gamma=60.00
Element x y z (fractional)
Sn  0.125  0.625  0.625
Sn  0.625  0.625  0.125
Sn  0.625  0.125  0.625
Sn  0.625  0.625  0.625
La  0.250  0.250  0.250
Hg  0.000  0.000  0.000

---

5.
This record from Alexandria describes a relaxed structure of La2Sn4Hg. The functional is PBE.

Summary:
- space-group type = I4/mmm
- ΔE to the lowest computed polymorph (meV per atom) = 0.0
- energy of formation (eV per atom) = -0.510

Unit cell a=6.592 b=6.592 c=6.728 alpha=119.29 beta=119.29 gamma=90.04
Element x y z (fractional)
Sn  0.786  0.286  0.071
Sn  0.786  0.786  0.072
Sn  0.286  0.286  0.071
Sn  0.286  0.786  0.071
La  0.286  0.786  0.571
La  0.786  0.286  0.571
Hg  0.786  0.786  0.572

---

6.
This record from Alexandria describes a relaxed structure of La2SnHg2. The functional is PBE.

Summary:
- space-group type = I4/mmm
- ΔE to the lowest computed polymorph (meV per atom) = 172.0
- energy of formation (eV per atom) = -0.382

Unit cell a=4.262 b=4.262 c=9.031 alpha=76.35 beta=76.35 gamma=90.00
Element x y z (fractional)
La  0.407  0.407  0.187
La  0.593  0.593  0.813
Hg  0.250  0.750  0.500
Hg  0.750  0.250  0.500
Sn  0.000  0.000  0.000

---

7.
This record from Alexandria describes a relaxed structure of La5SnHg4. The functional is PBE.

Summary:
- space-group type = P4/mmm
- energy of formation (eV per atom) = -0.547

Unit cell a=3.871 b=3.871 c=20.053 alpha=90.00 beta=90.00 gamma=90.00
Element x y z (fractional)
Hg  0.000  0.000  0.400
Hg  0.000  0.000  0.600
Hg  0.000  0.000  0.206
Hg  0.000  0.000  0.794
La  0.500  0.500  0.302
La  0.500  0.500  0.898
La  0.500  0.500  0.500
La  0.500  0.500  0.698
La  0.500  0.500  0.102
Sn  0.000  0.000  0.000

---

8.
This record from Alexandria describes a relaxed structure of LaSn2Hg6. The functional is PBE.

Summary:
- space-group type = P-3m1
- energy of formation (eV per atom) = -0.177

Unit cell a=5.376 b=5.376 c=9.522 alpha=90.00 beta=90.00 gamma=120.00
Element x y z (fractional)
Hg  0.333  0.667  0.348
Hg  0.333  0.667  0.014
Hg  0.000  0.000  0.842
Hg  0.000  0.000  0.158
Hg  0.667  0.333  0.652
Hg  0.667  0.333  0.986
Sn  0.667  0.333  0.315
Sn  0.333  0.667  0.685
La  0.000  0.000  0.500

---

9.
This record from Alexandria describes a relaxed structure of La4SnHg2. The functional is PBE.

Summary:
- space-group type = I4/mmm
- ΔE to the lowest computed polymorph (meV per atom) = 284.6
- energy of formation (eV per atom) = -0.125

Unit cell a=6.015 b=6.015 c=8.843 alpha=70.12 beta=70.12 gamma=90.00
Element x y z (fractional)
La  0.000  0.500  0.000
La  0.801  0.801  0.398
La  0.500  0.000  0.000
La  0.199  0.199  0.602
Hg  0.602  0.602  0.796
Hg  0.398  0.398  0.204
Sn  0.000  0.000  0.000

---

10.
This record from Alexandria describes a relaxed structure of LaSnHg2. The functional is PBE.

Summary:
- space-group type = P4/mmm
- energy of formation (eV per atom) = -0.351

Unit cell a=3.887 b=3.887 c=7.228 alpha=90.00 beta=90.00 gamma=90.00
Element x y z (fractional)
La  0.500  0.500  0.000
Hg  0.000  0.000  0.736
Hg  0.000  0.000  0.264
Sn  0.500  0.500  0.500

---

11.
This record from Alexandria describes a relaxed structure of La3SnHg. The functional is PBE.

Summary:
- space-group type = Pm-3m
- ΔE to the lowest computed polymorph (meV per atom) = 451.8
- energy of formation (eV per atom) = -0.013

Unit cell a=5.868 b=5.868 c=5.868 alpha=90.00 beta=90.00 gamma=90.00
Element x y z (fractional)
Hg  0.000  0.000  0.000
La  0.000  0.000  0.500
La  0.500  0.000  0.000
La  0.000  0.500  0.000
Sn  0.500  0.500  0.500

---

12.
This record from Alexandria describes a relaxed structure of La2SnHg2. The functional is PBE.

Summary:
- space-group type = P4/mbm
- ΔE to the lowest computed polymorph (meV per atom) = 20.1
- energy of formation (eV per atom) = -0.534

Unit cell a=8.017 b=8.017 c=4.701 alpha=90.00 beta=90.00 gamma=90.00
Element x y z (fractional)
Sn  0.000  0.000  0.000
Sn  0.500  0.500  0.000
La  0.674  0.826  0.500
La  0.826  0.326  0.500
La  0.326  0.174  0.500
La  0.174  0.674  0.500
Hg  0.129  0.371  0.000
Hg  0.629  0.129  0.000
Hg  0.371  0.871  0.000
Hg  0.871  0.629  0.000